Material: In3GaSn3
Method: DFT, PBE
State: optimized geometry

Total moment in μB per cell: 0.00
N(E_F) in states/eV per cell: 5.82
Calculated volume in A^3/atom: 26.79
Calculated total energy in eV per atom: -3.272
E_form in kJ per mole of atoms: 5
Offset from the most stable computed form in eV/atom: 0.000

```
14
Lattice="6.777 0.000 0.000 1.932 7.020 0.000 3.323 -0.224 7.883" Properties=species:S:1:pos:R:3 pbc="T T T"
In 1.102 0.145 1.891
In 2.748 3.944 2.374
In 5.484 4.854 3.552
In 6.548 1.942 4.331
In 9.284 2.851 5.509
In 10.930 6.651 5.992
Ga 4.815 0.702 6.787
Ga 7.217 6.094 1.095
Sn 5.241 3.730 6.702
Sn 3.799 0.945 3.157
Sn 7.938 4.999 7.758
Sn 4.094 1.797 0.125
Sn 8.233 5.851 4.726
Sn 6.790 3.066 1.181
```



Material: Pm3ScIr2
Method: DFT, PBE
State: optimized geometry

Total moment in μB per cell: 0.00
N(E_F) in states/eV per cell: 10.99
Calculated volume in A^3/atom: 27.56
Calculated total energy in eV per atom: -6.935
E_form in kJ per mole of atoms: -53
Offset from the most stable computed form in eV/atom: 0.000

```
12
Lattice="-3.384 6.774 3.607 3.384 -6.774 3.607 3.384 6.774 -3.607" Properties=species:S:1:pos:R:3 pbc="T T T"
Pm 3.384 -3.114 1.803
Pm 0.000 0.000 1.803
Pm 3.384 3.114 1.803
Pm 0.000 3.660 1.803
Pm 0.000 0.000 5.410
Pm 0.000 9.888 1.803
Sc 3.384 0.000 0.000
Sc 0.000 6.774 0.000
Ir 1.506 1.810 0.000
Ir 1.506 -1.810 3.607
Ir 1.878 8.584 0.000
Ir 1.878 4.964 3.607
```



Material: Tb3IrCl3
Method: DFT, PBE
State: optimized geometry

Total moment in μB per cell: 0.00
N(E_F) in states/eV per cell: 3.90
Calculated volume in A^3/atom: 30.85
Calculated total energy in eV per atom: -5.592
Energy relative to the elements, uncorrected in meV/atom: -1550

```
14
Lattice="3.463 2.000 10.396 -3.463 2.000 10.396 0.000 -3.999 10.396" Properties=species:S:1:pos:R:3 pbc="T T T"
Tb -1.297 -2.245 13.911
Tb -2.593 0.000 17.277
Tb -1.296 2.246 13.911
Tb 1.296 -2.246 17.277
Tb 2.593 0.000 13.911
Tb 1.297 2.245 17.277
Ir 0.000 0.000 5.198
Ir 0.000 0.000 25.989
Cl -2.128 0.001 12.268
Cl -1.065 -1.843 18.919
Cl 1.063 -1.844 12.268
Cl -1.063 1.844 18.919
Cl 1.065 1.843 12.268
Cl 2.128 -0.001 18.919
```



Q: Which of these has the lowest calculated volume?
A: In3GaSn3



Q: What is the calculated volume in the third record?
A: 30.85 A^3/atom



Q: Which of these has the lowest calculated total energy?
A: Pm3ScIr2